The following is a GGA+U calculation of a geometry-optimized KScWO5 structure, from Alexandria.

a b c (Å): 6.2180 6.2180 7.6974
angles (deg): 103.74 103.74 106.01
Element x y z (fractional)
K 0.1839 0.8161 0.7500
K 0.8161 0.1839 0.2500
Sc 0.5000 0.5000 0.0000
Sc 0.5000 0.5000 0.5000
W 0.1851 0.8149 0.2500
W 0.8149 0.1851 0.7500
O 0.1141 0.2684 0.9071
O 0.1986 0.6178 0.3901
O 0.2684 0.1141 0.4071
O 0.3822 0.8014 0.1099
O 0.4484 0.5516 0.7500
O 0.5516 0.4484 0.2500
O 0.6178 0.1986 0.8901
O 0.7316 0.8859 0.5929
O 0.8014 0.3822 0.6099
O 0.8859 0.7316 0.0929

Results
DOS at the Fermi energy ... 0.00 states/eV per atom
Final energy ... -117.542 eV for the cell shown
Total magnetic moment ... 0.00 μB per formula unit